Here is a relaxed structure of ScTl2Ir from Alexandria via LeMat-Bulk. Energies are from PBE.

Values from the calculation:
DOS at the Fermi energy, states/eV per atom: 0.375
Symmetry: P2/m
M_tot, μB per atom: 0.00
DFT total energy, eV per atom: -4.93
Formation enthalpy at 0 K, eV/atom: 0.047

Cell: 3.313 4.908 5.252 Å, 90.00 92.79 90.00°
Element x y z (fractional)
Sc1 0.000 0.000 0.000
Tl1 0.299 0.500 0.743
Tl2 0.701 0.500 0.257
Ir1 0.500 0.000 0.500